[1]
{"formula": "ThS2", "functional": "PBE", "state": "optimized geometry", "lattice_angstrom": [[-1.160, -5.882, 6.151], [1.433, -8.303, -1.671], [6.776, -3.973, 3.476]], "species": ["S", "S", "S", "Th", "S", "Th"], "frac_coords": [[0.375, 0.875, 0.375], [0.375, 0.375, 0.875], [0.875, 0.375, 0.375], [0.250, 0.250, 0.250], [0.375, 0.375, 0.375], [0.500, 0.500, 0.500]], "total_energy_ev_per_atom": -6.650}

---

[2]
{"formula": "ThS2", "functional": "PBE", "state": "optimized geometry", "lattice_angstrom": [[0.000, 3.334, 3.334], [3.334, 0.000, 3.334], [3.334, 3.334, 0.000]], "species": ["S", "Th", "S"], "frac_coords": [[0.250, 0.250, 0.250], [0.000, 0.000, 0.000], [0.750, 0.750, 0.750]], "total_energy_ev_per_atom": -7.243}

---

What did the second record say?
{"formula": "ThS2", "functional": "PBE", "state": "optimized geometry", "lattice_angstrom": [[0.000, 3.334, 3.334], [3.334, 0.000, 3.334], [3.334, 3.334, 0.000]], "species": ["S", "Th", "S"], "frac_coords": [[0.250, 0.250, 0.250], [0.000, 0.000, 0.000], [0.750, 0.750, 0.750]], "total_energy_ev_per_atom": -7.243}